[1]
This record from Alexandria via LeMat-Bulk describes an optimized crystal structure of Li4TlRe. The functional is PBE.

extended XYZ file:
```
6
Lattice="0.0000 3.5349 3.5349 3.5349 0.0000 3.5349 3.5349 3.5349 0.0000" Properties=species:S:1:pos:R:3 pbc="T T T"
Li 4.4024 4.4024 2.6674
Li 4.4024 2.6674 4.4024
Li 2.6674 4.4024 4.4024
Li 2.6674 2.6674 2.6674
Tl 0.0000 0.0000 0.0000
Re 5.3023 5.3023 5.3023
```

Calculated values
Its density of states at the Fermi level is 3.58 states/eV/cell. The formation energy is 0.461 eV/atom. The value obtained for the magnetization is 0.0 μB/f.u. The final energy is -19.7 eV/f.u.

[2]
This record from Alexandria via LeMat-Bulk describes an optimized crystal structure of Li3TlRe. The functional is PBE.

extended XYZ file:
```
5
Lattice="4.9377 0.0000 0.0000 0.0000 4.9377 0.0000 0.0000 0.0000 4.9377" Properties=species:S:1:pos:R:3 pbc="T T T"
Li 0.0000 2.4689 0.0000
Li 0.0000 0.0000 2.4689
Li 2.4689 0.0000 0.0000
Tl 2.4689 2.4689 2.4689
Re 0.0000 0.0000 0.0000
```

Calculated values
Its density of states at the Fermi level is 13.31 states/eV/cell. The formation energy is 1.169 eV/atom. As for the offset from the most stable computed form: 0 meV per atom. The value obtained for the magnetization is 2.3 μB/f.u. The final energy is -14.7 eV/f.u.

[3]
This record from Alexandria via LeMat-Bulk describes an optimized crystal structure of Li2TlRe. The functional is PBE.

extended XYZ file:
```
4
Lattice="9.8805 -0.0137 -0.0080 9.4582 2.8580 -0.0080 9.4582 1.3911 2.4966" Properties=species:S:1:pos:R:3 pbc="T T T"
Tl 21.5977 3.1765 1.8604
Li 28.5863 4.2044 2.4624
Li 14.6091 2.1487 1.2584
Re 7.1992 1.0588 0.6201
```

Calculated values
Its density of states at the Fermi level is 4.34 states/eV/cell. The formation energy is 0.442 eV/atom. As for the offset from the most stable computed form: 94 meV per atom. The value obtained for the magnetization is 0.0 μB/f.u. The final energy is -16.9 eV/f.u.

[4]
This record from Alexandria via LeMat-Bulk describes an optimized crystal structure of Li2TlRe. The functional is PBE.

extended XYZ file:
```
4
Lattice="2.9686 0.0000 0.0000 0.0000 2.9686 0.0000 0.0000 0.0000 7.3686" Properties=species:S:1:pos:R:3 pbc="T T T"
Li 0.0000 0.0000 0.1949
Li 1.4843 1.4843 1.7893
Tl 1.4843 1.4843 5.6205
Re 0.0000 0.0000 3.4482
```

Calculated values
Its density of states at the Fermi level is 1.84 states/eV/cell. The formation energy is 0.505 eV/atom. As for the offset from the most stable computed form: 157 meV per atom. The value obtained for the magnetization is 0.6 μB/f.u. The final energy is -16.6 eV/f.u.

[5]
This record from Alexandria via LeMat-Bulk describes an optimized crystal structure of Li2TlRe. The functional is PBE.

extended XYZ file:
```
4
Lattice="2.7413 0.0000 0.0000 0.0000 2.7413 0.0000 0.0000 0.0000 9.2374" Properties=species:S:1:pos:R:3 pbc="T T T"
Li 0.0000 0.0000 4.4019
Li 0.0000 0.0000 0.2167
Re 1.3707 1.3707 2.3093
Tl 1.3707 1.3707 6.9280
```

Calculated values
Its density of states at the Fermi level is 1.27 states/eV/cell. The formation energy is 0.348 eV/atom. As for the offset from the most stable computed form: 0 meV per atom. The value obtained for the magnetization is 0.0 μB/f.u. The final energy is -17.3 eV/f.u.

[6]
This record from Alexandria via LeMat-Bulk describes an optimized crystal structure of LiTl2Re. The functional is PBE.

extended XYZ file:
```
4
Lattice="5.4750 0.0031 -0.0400 -1.7331 5.1935 -0.0400 0.6033 0.8379 2.7785" Properties=species:S:1:pos:R:3 pbc="T T T"
Tl 1.8710 2.5983 -0.0400
Tl 0.0000 0.0000 0.0000
Li 3.0392 0.4205 1.3693
Re -0.5649 3.0157 1.3693
```

Calculated values
Its density of states at the Fermi level is 1.68 states/eV/cell. The formation energy is 0.643 eV/atom. The value obtained for the magnetization is 0.0 μB/f.u. The final energy is -16.5 eV/f.u.